## PrSbHPd (PBE)

Data for a relaxed structure of PrSbHPd.

Calculated values
- DFT total energy (Ry per atom) = -0.382
- Fermi-level density of states (states/eV per cell) = 1.20

Cell: 4.5799 4.5799 4.1999 Å, 90.00 90.00 120.00°
Space group P3m1 (No. 156)
Asymmetric unit:
Pr 0.0000 0.0000 0.0000 [1 per cell]
Sb 0.3333 0.6667 0.4774 [1 per cell]
H 0.6667 0.3333 0.9717 [1 per cell]
Pd 0.6667 0.3333 0.5557 [1 per cell]